A plane-wave DFT calculation with PBE was carried out for Ga2GeAsRh after structural relaxation.

Computed properties:
**Crystal system**: tetragonal
**Formation energy**: 0.8601 eV/atom
**Volume**: 22.52 Å³ per atom

```
data_Ga2GeAsRh
_chemical_formula_sum 'Ga2 Ge1 As1 Rh1'
_cell_length_a 4.748
_cell_length_b 4.748
_cell_length_c 4.996
_cell_angle_alpha 90.00
_cell_angle_beta 90.00
_cell_angle_gamma 90.00
_symmetry_space_group_name_H-M 'P 1'
_symmetry_Int_Tables_number 1
loop_
_symmetry_equiv_pos_as_xyz
'x,y,z'
loop_
_atom_site_label
_atom_site_fract_x
_atom_site_fract_y
_atom_site_fract_z
Ga1 0.000 0.500 0.000
Ga2 0.500 0.000 0.000
Ge1 0.000 0.000 0.500
As1 0.000 0.000 0.000
Rh1 0.500 0.500 0.500
```

---

A plane-wave DFT calculation with PBE was carried out for DyHo8Sn6 after structural relaxation.

Computed properties:
**Crystal system**: trigonal
**Formation energy**: -0.5274 eV/atom
**Volume**: 30.18 Å³ per atom

```
data_DyHo8Sn6
_chemical_formula_sum 'Dy1 Ho8 Sn6'
_cell_length_a 8.295
_cell_length_b 8.295
_cell_length_c 8.295
_cell_angle_alpha 65.59
_cell_angle_beta 65.59
_cell_angle_gamma 65.59
_symmetry_space_group_name_H-M 'P 1'
_symmetry_Int_Tables_number 1
loop_
_symmetry_equiv_pos_as_xyz
'x,y,z'
loop_
_atom_site_label
_atom_site_fract_x
_atom_site_fract_y
_atom_site_fract_z
Dy1 0.000 0.000 0.000
Ho1 0.106 0.773 0.440
Ho2 0.227 0.560 0.894
Ho3 0.333 0.333 0.333
Ho4 0.440 0.106 0.773
Ho5 0.560 0.894 0.227
Ho6 0.667 0.667 0.667
Ho7 0.773 0.440 0.106
Ho8 0.894 0.227 0.560
Sn1 0.067 0.401 0.733
Sn2 0.267 0.933 0.599
Sn3 0.401 0.733 0.067
Sn4 0.599 0.267 0.933
Sn5 0.733 0.067 0.401
Sn6 0.933 0.599 0.267
```

---

A plane-wave DFT calculation with PBE was carried out for Ta2OsW after structural relaxation.

Computed properties:
**Crystal system**: tetragonal
**Formation energy**: -0.0902 eV/atom
**Volume**: 16.65 Å³ per atom
**Polymorph energy (0 for the lowest one)**: 208 meV/atom

```
data_Ta2OsW
_chemical_formula_sum 'Ta2 Os1 W1'
_cell_length_a 3.204
_cell_length_b 3.204
_cell_length_c 6.486
_cell_angle_alpha 90.00
_cell_angle_beta 90.00
_cell_angle_gamma 90.00
_symmetry_space_group_name_H-M 'P 1'
_symmetry_Int_Tables_number 1
loop_
_symmetry_equiv_pos_as_xyz
'x,y,z'
loop_
_atom_site_label
_atom_site_fract_x
_atom_site_fract_y
_atom_site_fract_z
Ta1 0.000 0.000 0.000
Ta2 0.500 0.500 0.261
Os1 0.500 0.500 0.754
W1 0.000 0.000 0.506
```

---

A plane-wave DFT calculation with PBE was carried out for Li2Tl2Sn after structural relaxation.

Computed properties:
**Crystal system**: triclinic
**Formation energy**: -0.1789 eV/atom
**Volume**: 23.71 Å³ per atom
**Polymorph energy (0 for the lowest one)**: 0 meV/atom

```
data_Li2Tl2Sn
_chemical_formula_sum 'Li2 Tl2 Sn1'
_cell_length_a 3.320
_cell_length_b 4.370
_cell_length_c 8.587
_cell_angle_alpha 104.37
_cell_angle_beta 100.33
_cell_angle_gamma 90.52
_symmetry_space_group_name_H-M 'P 1'
_symmetry_Int_Tables_number 1
loop_
_symmetry_equiv_pos_as_xyz
'x,y,z'
loop_
_atom_site_label
_atom_site_fract_x
_atom_site_fract_y
_atom_site_fract_z
Li1 0.092 0.090 0.178
Li2 0.908 0.910 0.822
Tl1 0.297 0.304 0.612
Tl2 0.703 0.696 0.388
Sn1 0.500 0.500 0.000
```

---

A plane-wave DFT calculation with PBE was carried out for AlHSe2 after structural relaxation.

Computed properties:
**Crystal system**: cubic
**Volume**: 15.47 Å³ per atom
**Polymorph energy (0 for the lowest one)**: 931 meV/atom

```
data_AlHSe2
_chemical_formula_sum 'Al1 H1 Se2'
_cell_length_a 4.440
_cell_length_b 4.440
_cell_length_c 4.440
_cell_angle_alpha 60.00
_cell_angle_beta 60.00
_cell_angle_gamma 60.00
_symmetry_space_group_name_H-M 'P 1'
_symmetry_Int_Tables_number 1
loop_
_symmetry_equiv_pos_as_xyz
'x,y,z'
loop_
_atom_site_label
_atom_site_fract_x
_atom_site_fract_y
_atom_site_fract_z
Al1 0.000 0.000 0.000
H1 0.500 0.500 0.500
Se1 0.250 0.250 0.250
Se2 0.750 0.750 0.750
```

---

A plane-wave DFT calculation with PBE was carried out for TlCuAg2I4 after structural relaxation.

Computed properties:
**Crystal system**: orthorhombic
**Volume**: 38.58 Å³ per atom
**ΔE_f (raw)**: -0.30 eV per atom

```
data_TlCuAg2I4
_chemical_formula_sum 'Tl2 Cu2 Ag4 I8'
_cell_length_a 9.798
_cell_length_b 8.019
_cell_length_c 7.857
_cell_angle_alpha 90.00
_cell_angle_beta 90.00
_cell_angle_gamma 90.00
_symmetry_space_group_name_H-M 'P 1'
_symmetry_Int_Tables_number 1
loop_
_symmetry_equiv_pos_as_xyz
'x,y,z'
loop_
_atom_site_label
_atom_site_fract_x
_atom_site_fract_y
_atom_site_fract_z
Tl1 0.000 0.156 0.000
Tl2 0.500 0.844 0.500
Cu1 0.000 0.813 0.491
Cu2 0.500 0.187 0.991
Ag1 0.248 0.333 0.487
Ag2 0.252 0.667 0.987
Ag3 0.748 0.667 0.987
Ag4 0.752 0.333 0.487
I1 0.000 0.140 0.441
I2 0.000 0.767 0.824
I3 0.210 0.663 0.350
I4 0.290 0.337 0.850
I5 0.500 0.233 0.324
I6 0.500 0.860 0.941
I7 0.710 0.337 0.850
I8 0.790 0.663 0.350
```

---

A plane-wave DFT calculation with PBE was carried out for Pm6Pr5Ho2 after structural relaxation.

Computed properties:
**Crystal system**: orthorhombic
**Formation energy**: 0.0893 eV/atom
**Volume**: 35.03 Å³ per atom

```
data_Pm6Pr5Ho2
_chemical_formula_sum 'Pm12 Pr10 Ho4'
_cell_length_a 11.835
_cell_length_b 21.008
_cell_length_c 3.663
_cell_angle_alpha 90.00
_cell_angle_beta 90.00
_cell_angle_gamma 90.00
_symmetry_space_group_name_H-M 'P 1'
_symmetry_Int_Tables_number 1
loop_
_symmetry_equiv_pos_as_xyz
'x,y,z'
loop_
_atom_site_label
_atom_site_fract_x
_atom_site_fract_y
_atom_site_fract_z
Pm1 0.063 0.081 0.000
Pm2 0.083 0.368 0.000
Pm3 0.174 0.639 0.500
Pm4 0.326 0.139 0.500
Pm5 0.417 0.868 0.000
Pm6 0.437 0.581 0.000
Pm7 0.563 0.419 0.000
Pm8 0.583 0.132 0.000
Pm9 0.674 0.861 0.500
Pm10 0.826 0.361 0.500
Pm11 0.917 0.632 0.000
Pm12 0.937 0.919 0.000
Pr1 0.000 0.500 0.500
Pr2 0.086 0.227 0.500
Pr3 0.197 0.946 0.500
Pr4 0.303 0.446 0.500
Pr5 0.414 0.727 0.500
Pr6 0.500 0.000 0.500
Pr7 0.586 0.273 0.500
Pr8 0.697 0.554 0.500
Pr9 0.803 0.054 0.500
Pr10 0.914 0.773 0.500
Ho1 0.170 0.789 0.000
Ho2 0.330 0.289 0.000
Ho3 0.670 0.711 0.000
Ho4 0.830 0.211 0.000
```

---

A plane-wave DFT calculation with PBE was carried out for TaAlSbI2 after structural relaxation.

Computed properties:
**Crystal system**: tetragonal
**Volume**: 34.27 Å³ per atom
**ΔE_f (raw)**: 0.52 eV per atom
**Polymorph energy (0 for the lowest one)**: 0 meV/atom

```
data_TaAlSbI2
_chemical_formula_sum 'Ta1 Al1 Sb1 I2'
_cell_length_a 5.622
_cell_length_b 5.622
_cell_length_c 5.421
_cell_angle_alpha 90.00
_cell_angle_beta 90.00
_cell_angle_gamma 90.00
_symmetry_space_group_name_H-M 'P 1'
_symmetry_Int_Tables_number 1
loop_
_symmetry_equiv_pos_as_xyz
'x,y,z'
loop_
_atom_site_label
_atom_site_fract_x
_atom_site_fract_y
_atom_site_fract_z
Ta1 0.000 0.000 0.000
Al1 0.500 0.500 0.500
Sb1 0.000 0.000 0.500
I1 0.000 0.500 0.000
I2 0.500 0.000 0.000
```

---

A plane-wave DFT calculation with PBE was carried out for CaLa2Tl after structural relaxation.

Computed properties:
**Crystal system**: cubic
**Formation energy**: -0.1461 eV/atom
**Volume**: 33.57 Å³ per atom
**Polymorph energy (0 for the lowest one)**: 52 meV/atom

```
data_CaLa2Tl
_chemical_formula_sum 'Ca1 La2 Tl1'
_cell_length_a 5.748
_cell_length_b 5.748
_cell_length_c 5.748
_cell_angle_alpha 60.00
_cell_angle_beta 60.00
_cell_angle_gamma 60.00
_symmetry_space_group_name_H-M 'P 1'
_symmetry_Int_Tables_number 1
loop_
_symmetry_equiv_pos_as_xyz
'x,y,z'
loop_
_atom_site_label
_atom_site_fract_x
_atom_site_fract_y
_atom_site_fract_z
Ca1 0.000 0.000 0.000
La1 0.250 0.250 0.250
La2 0.750 0.750 0.750
Tl1 0.500 0.500 0.500
```

---

A plane-wave DFT calculation with PBE was carried out for PmCdCuAs after structural relaxation.

Computed properties:
**Crystal system**: cubic
**Formation energy**: -0.3026 eV/atom
**Volume**: 21.45 Å³ per atom

```
data_PmCdCuAs
_chemical_formula_sum 'Pm1 Cd1 Cu1 As1'
_cell_length_a 4.951
_cell_length_b 4.951
_cell_length_c 4.951
_cell_angle_alpha 60.00
_cell_angle_beta 60.00
_cell_angle_gamma 60.00
_symmetry_space_group_name_H-M 'P 1'
_symmetry_Int_Tables_number 1
loop_
_symmetry_equiv_pos_as_xyz
'x,y,z'
loop_
_atom_site_label
_atom_site_fract_x
_atom_site_fract_y
_atom_site_fract_z
Pm1 0.000 0.000 0.000
Cd1 0.500 0.500 0.500
Cu1 0.750 0.750 0.750
As1 0.250 0.250 0.250
```

---

A plane-wave DFT calculation with PBE was carried out for KTl2HgIr after structural relaxation.

Computed properties:
**Crystal system**: tetragonal
**Formation energy**: -0.0365 eV/atom
**Volume**: 30.62 Å³ per atom

```
data_KTl2HgIr
_chemical_formula_sum 'K1 Tl2 Hg1 Ir1'
_cell_length_a 5.299
_cell_length_b 5.299
_cell_length_c 5.452
_cell_angle_alpha 90.00
_cell_angle_beta 90.00
_cell_angle_gamma 90.00
_symmetry_space_group_name_H-M 'P 1'
_symmetry_Int_Tables_number 1
loop_
_symmetry_equiv_pos_as_xyz
'x,y,z'
loop_
_atom_site_label
_atom_site_fract_x
_atom_site_fract_y
_atom_site_fract_z
K1 0.000 0.000 0.000
Tl1 0.000 0.500 0.500
Tl2 0.500 0.000 0.500
Hg1 0.500 0.500 0.000
Ir1 0.500 0.500 0.500
```

---

A plane-wave DFT calculation with PBE was carried out for Tm2PaB6 after structural relaxation.

Computed properties:
**Crystal system**: hexagonal
**Formation energy**: -0.6046 eV/atom
**Volume**: 11.82 Å³ per atom

```
data_Tm2PaB6
_chemical_formula_sum 'Tm2 Pa1 B6'
_cell_length_a 5.624
_cell_length_b 5.624
_cell_length_c 3.885
_cell_angle_alpha 90.00
_cell_angle_beta 90.00
_cell_angle_gamma 120.00
_symmetry_space_group_name_H-M 'P 1'
_symmetry_Int_Tables_number 1
loop_
_symmetry_equiv_pos_as_xyz
'x,y,z'
loop_
_atom_site_label
_atom_site_fract_x
_atom_site_fract_y
_atom_site_fract_z
Tm1 0.333 0.667 0.000
Tm2 0.667 0.333 0.000
Pa1 0.000 0.000 0.000
B1 0.000 0.332 0.500
B2 0.000 0.668 0.500
B3 0.332 0.000 0.500
B4 0.332 0.332 0.500
B5 0.668 0.000 0.500
B6 0.668 0.668 0.500
```